Computed, not measured: crystalline LiMn6O4F8 at its relaxed geometry at the GGA+U level of DFT.

Cell lengths 4.988, 5.810, 8.052 Å; angles 86.14, 87.50, 86.36 degrees
Site moments in Bohr magnetons follow the coordinates.
Atoms (fractional coordinates):
Li: 0.485 0.191 0.805  0.01
Mn: 0.484 0.524 0.028  4.56
Mn: 0.625 0.794 0.663  4.39
Mn: 0.485 0.158 0.343  4.39
Mn: 0.963 0.318 0.678  4.08
Mn: 0.998 0.656 0.339  4.15
Mn: 0.996 0.996 0.000  4.63
O: 0.827 0.034 0.766  -0.08
O: 0.666 0.483 0.782  -0.08
O: 0.699 0.864 0.426  -0.15
O: 0.298 0.461 0.257  -0.12
F: 0.799 0.356 0.430  0.05
F: 0.831 0.686 0.105  0.04
F: 0.664 0.185 0.101  0.04
F: 0.310 0.147 0.594  0.02
F: 0.359 0.842 0.894  0.04
F: 0.122 0.611 0.586  0.02
F: 0.190 0.954 0.237  0.03
F: 0.184 0.313 0.918  0.06

Output
N(E_F): 2.35 states/eV/cell
M_tot: 27.00 μB/f.u.
SG: P1, No. 1
Relative energy among the computed polymorphs: 0.48 eV per formula unit